Material: RePb
Method: DFT, PBE-GGA
State: relaxed

Cell: 3.1724 4.9538 4.9604 Å, 90.00 90.00 90.00°
Last column: nearest neighbours and their distance in Å.
Space group Pmmn (No. 59, origin choice 2)
Inequivalent atoms, fractional coordinates:
Re  0.2500  0.2500  0.0832 [2 per cell]  6 Pb 2.86-3.03, 6 Re 3.05-3.17
Pb  0.2500  0.7500  0.3963 [2 per cell]  6 Re 2.86-3.03, 6 Pb 3.12-3.17

As for the density: 16.760 g/cm³. As for the excess energy over the best structure of this formula in the dataset: 0.7776 eV per atom. The uncorrected energy is -27.67 eV/cell. Its formation energy is 1162 meV per atom.

***

Material: Re5Pb4
Method: DFT, PBE-GGA
State: relaxed

Cell: 9.1532 9.1532 4.5145 Å, 90.00 90.00 90.00°
Last column: nearest neighbours and their distance in Å.
Space group I4/mmm (No. 139)
Inequivalent atoms, fractional coordinates:
Re  0.0000  0.0000  0.0000 [2 per cell]  4 Pb 2.83, 8 Re 2.86
Re  0.1356  0.1356  0.5000 [8 per cell]  2 Re 2.48
Pb  0.0000  0.3097  0.0000 [8 per cell]  5 Re 2.83-3.03

As for the density: 15.453 g/cm³. As for the excess energy over the best structure of this formula in the dataset: 0.0000 eV per atom. The uncorrected energy is -138.24 eV/cell. Its formation energy is 884 meV per atom.